Below is Al3Ag2 at its PBEsol-relaxed geometry, with properties calculated at the meta-GGA SCAN level.

```
Al3Ag2
1.0
-1.238 -4.227 -2.088
3.882 -1.725 -2.467
1.535 -5.632 4.805
Al Ag
6 4
Direct
0.700 0.000 0.601
0.903 0.000 0.194
0.402 0.500 0.197
0.599 0.500 0.802
0.798 0.500 0.403
0.299 0.000 0.401
0.995 0.500 0.010
0.104 0.000 0.792
0.205 0.500 0.589
0.497 0.000 0.006
```

E_tot ... -17.2483 eV/atom
Energy above the most stable polymorph in this dataset ... 34 meV per atom
N(E_F) ... 0.314 states/eV per atom
Space-group type ... C2